A:
This record from OQMD describes SbPd8 after structural relaxation. The functional is PBE-GGA.

Structure (POSCAR):
```
SbPd8
1.0
-4.180 4.180 2.024
4.180 -4.180 2.024
4.180 4.180 -2.024
Sb Pd
1 8
Direct
0.000 0.000 0.000
0.000 0.334 0.334
0.000 0.666 0.666
0.333 0.333 0.666
0.333 0.667 0.000
0.334 0.000 0.334
0.666 0.000 0.666
0.667 0.333 0.000
0.667 0.667 0.334
```

Results
- crystal system = tetragonal

=====

B:
This record from OQMD describes SbPd8 after structural relaxation. The functional is PBE-GGA.

Structure (POSCAR):
```
SbPd8
1.0
4.354 -1.957 0.000
4.354 1.957 0.000
-0.226 0.000 26.717
Sb Pd
2 16
Direct
0.054 0.054 0.220
0.946 0.946 0.780
0.052 0.052 0.550
0.150 0.150 0.651
0.152 0.152 0.316
0.248 0.248 0.417
0.248 0.248 0.756
0.351 0.351 0.517
0.450 0.450 0.281
0.451 0.451 0.617
0.549 0.549 0.383
0.550 0.550 0.719
0.649 0.649 0.483
0.752 0.752 0.244
0.752 0.752 0.583
0.848 0.848 0.684
0.850 0.850 0.349
0.948 0.948 0.450
```

Results
- crystal system = monoclinic

=====

Pick A: it beats the second-best structure by 11.5 kJ/mol of atoms.

=====

A:
This record from OQMD describes SrSnSbPd2 after structural relaxation. The functional is PBE-GGA.

Structure (POSCAR):
```
SrSnSbPd2
1.0
4.754 0.000 0.000
0.000 4.754 0.000
0.000 0.000 10.556
Sr Sn Sb Pd
2 2 2 4
Direct
0.250 0.250 0.245
0.750 0.750 0.755
0.250 0.250 0.882
0.750 0.750 0.118
0.250 0.750 0.500
0.750 0.250 0.500
0.250 0.250 0.628
0.250 0.750 0.000
0.750 0.250 0.000
0.750 0.750 0.372
```

Results
- crystal system = tetragonal

=====

B:
This record from OQMD describes SrSnSbPd2 after structural relaxation. The functional is PBE-GGA.

Structure (POSCAR):
```
SrSnSbPd2
1.0
4.680 0.000 0.000
0.000 4.643 0.000
-0.269 0.000 10.834
Sr Sn Sb Pd
2 2 2 4
Direct
0.242 0.250 0.241
0.758 0.750 0.759
0.249 0.750 0.499
0.751 0.250 0.501
0.276 0.250 0.875
0.724 0.750 0.125
0.213 0.750 0.999
0.258 0.250 0.631
0.742 0.750 0.369
0.787 0.250 0.001
```

Results
- crystal system = monoclinic

=====

Pick B: it beats the second-best structure by 4.0 kJ/mol of atoms.

=====

A:
This record from OQMD describes YSb2Pd2 after structural relaxation. The functional is PBE-GGA.

Structure (POSCAR):
```
YSb2Pd2
1.0
-2.192 2.192 5.780
2.192 -2.192 5.780
2.192 2.192 -5.780
Y Sb Pd
1 2 2
Direct
0.000 0.000 0.000
0.379 0.379 0.000
0.621 0.621 0.000
0.250 0.750 0.500
0.750 0.250 0.500
```

Results
- crystal system = tetragonal

=====

B:
This record from OQMD describes YSb2Pd2 after structural relaxation. The functional is PBE-GGA.

Structure (POSCAR):
```
YSb2Pd2
1.0
4.536 0.000 0.000
0.000 4.536 0.000
0.000 0.000 10.880
Y Sb Pd
2 4 4
Direct
0.250 0.250 0.227
0.750 0.750 0.773
0.250 0.250 0.870
0.250 0.750 0.500
0.750 0.250 0.500
0.750 0.750 0.130
0.250 0.250 0.636
0.250 0.750 0.000
0.750 0.250 0.000
0.750 0.750 0.364
```

Results
- crystal system = tetragonal

=====

Pick B: it beats the second-best structure by 5.4 kJ/mol of atoms.

=====

A:
This record from OQMD describes Sm3Sc3Te2Pd after structural relaxation. The functional is PBE-GGA.

Structure (POSCAR):
```
Sm3Sc3Te2Pd
1.0
8.106 0.000 0.000
-4.053 7.020 0.000
0.000 0.000 4.035
Sm Sc Te Pd
3 3 2 1
Direct
0.000 0.602 0.000
0.398 0.398 0.000
0.602 0.000 0.000
0.000 0.237 0.500
0.237 0.000 0.500
0.763 0.763 0.500
0.333 0.667 0.500
0.667 0.333 0.500
0.000 0.000 0.000
```

Results
- crystal system = hexagonal

=====

B:
This record from OQMD describes Sm3Sc3Te2Pd after structural relaxation. The functional is PBE-GGA.

Structure (POSCAR):
```
Sm3Sc3Te2Pd
1.0
8.390 0.000 0.000
-4.195 7.266 0.000
0.000 0.000 3.818
Sm Sc Te Pd
3 3 2 1
Direct
0.000 0.256 0.000
0.256 0.000 0.000
0.744 0.744 0.000
0.000 0.597 0.500
0.403 0.403 0.500
0.597 0.000 0.500
0.333 0.667 0.000
0.667 0.333 0.000
0.000 0.000 0.500
```

Results
- crystal system = hexagonal

=====

Pick A: it beats the second-best structure by 16.8 kJ/mol of atoms.